# 1
! GaFeMo2 PBE optimized geometry; values from VASP
! final energy: -62.4 eV/cell
&SYSTEM
  ibrav = 0, nat = 8, ntyp = 3
/
ATOMIC_SPECIES
Mo 95.94 Mo.upf
Fe 55.84 Fe.upf
Ga 69.72 Ga.upf
CELL_PARAMETERS angstrom
-4.208 5.203 1.686
-5.439 -4.203 -0.608
-4.611 -0.137 3.035
ATOMIC_POSITIONS angstrom
Mo -5.238 -1.813 0.654
Mo -7.283 0.113 2.658
Mo -4.303 2.494 1.673
Fe -4.824 0.500 0.539
Mo -11.693 0.932 3.243
Ga 0.000 0.000 0.000
Fe -7.437 -1.920 1.483
Ga -6.822 2.783 2.630

=====

# 2
! Cs2RbH2 PBE optimized geometry; values from VASP
! final energy: -9.4 eV/cell
! ΔE to the lowest computed polymorph: 0.000 eV/atom
&SYSTEM
  ibrav = 0, nat = 5, ntyp = 3
/
ATOMIC_SPECIES
Cs 132.91 Cs.upf
H 1.01 H.upf
Rb 85.47 Rb.upf
CELL_PARAMETERS angstrom
5.607 0.000 0.000
0.000 5.607 0.000
2.804 2.804 8.503
ATOMIC_POSITIONS angstrom
Cs 5.607 5.607 5.297
H 2.804 5.607 4.252
H 5.607 2.804 4.252
Cs 2.804 2.804 3.207
Rb 0.000 0.000 0.000

=====

# 3
! CePrEr2As4 PBE optimized geometry; values from VASP
! final energy: -50.3 eV/cell
&SYSTEM
  ibrav = 0, nat = 8, ntyp = 4
/
ATOMIC_SPECIES
Er 167.26 Er.upf
Pr 140.91 Pr.upf
As 74.92 As.upf
Ce 140.12 Ce.upf
CELL_PARAMETERS angstrom
-3.477 2.308 -0.161
-1.812 -2.269 6.602
2.762 4.508 4.941
ATOMIC_POSITIONS angstrom
Er -0.357 3.408 2.390
Pr 0.118 4.527 8.161
As 0.671 1.619 8.690
As -2.422 0.561 6.167
As -0.105 3.986 5.214
Er 2.762 4.508 4.941
As -3.198 2.927 2.691
Ce 0.475 1.119 5.771

=====

# 4
! Mn3InCo PBE optimized geometry; values from VASP
! final energy: -33.8 eV/cell
! ΔE to the lowest computed polymorph: 0.000 eV/atom
&SYSTEM
  ibrav = 0, nat = 5, ntyp = 3
/
ATOMIC_SPECIES
Mn 54.94 Mn.upf
Co 58.93 Co.upf
In 114.82 In.upf
CELL_PARAMETERS angstrom
-1.911 -4.010 0.864
3.696 -1.270 2.283
-1.780 1.670 3.811
ATOMIC_POSITIONS angstrom
Mn -0.890 0.835 1.906
Mn -0.956 -2.005 0.432
Mn 1.848 -0.635 1.141
Co 0.000 0.000 0.000
In 0.002 -1.805 3.479

=====

Which formula does entry 3 have?
CePrEr2As4

=====

Copy entry 1 word for word.
! GaFeMo2 PBE optimized geometry; values from VASP
! final energy: -62.4 eV/cell
&SYSTEM
  ibrav = 0, nat = 8, ntyp = 3
/
ATOMIC_SPECIES
Mo 95.94 Mo.upf
Fe 55.84 Fe.upf
Ga 69.72 Ga.upf
CELL_PARAMETERS angstrom
-4.208 5.203 1.686
-5.439 -4.203 -0.608
-4.611 -0.137 3.035
ATOMIC_POSITIONS angstrom
Mo -5.238 -1.813 0.654
Mo -7.283 0.113 2.658
Mo -4.303 2.494 1.673
Fe -4.824 0.500 0.539
Mo -11.693 0.932 3.243
Ga 0.000 0.000 0.000
Fe -7.437 -1.920 1.483
Ga -6.822 2.783 2.630

=====

Look up the final energy of the third one.
-50.3 eV/cell

=====

Number 4 is which compound?
Mn3InCo